Entry 1:
## Mg2CoAs2Ru (GGA-PBE)

Data for an optimized crystal structure of Mg2CoAs2Ru.

Values from the calculation:
energy of formation = -0.40 eV per atom
calculated volume = 397.1 Å³ per cell
energy = -125.05 eV/cell

Cell lengths 5.6733, 12.0686, 5.8002 Å; angles 90.00, 90.00, 90.00 degrees
Space group Ibam (No. 72)
One atom of each set of equivalent atoms:
Mg (0.2500, 0.1578, 0.0000) x8
Co (0.0000, 0.0000, 0.2500) x4
As (0.2372, 0.1162, 0.5000) x8
Ru (0.0000, 0.5000, 0.2500) x4

Entry 2:
## Tb3Dy6Pu (GGA-PBE)

Data for an optimized crystal structure of Tb3Dy6Pu.

Values from the calculation:
energy of formation = 0.25 eV per atom
calculated volume = 953.8 Å³ per cell
energy = -159.99 eV/cell

Cell lengths 9.7578, 9.7578, 11.5670 Å; angles 90.00, 90.00, 120.00 degrees
Space group R3 (No. 146, hexagonal axes)
One atom of each set of equivalent atoms:
Tb (0.0000, 0.0000, 0.0000) x3
Tb (0.0000, 0.0000, 0.2560) x3
Tb (0.0000, 0.0000, 0.7434) x3
Dy (0.0004, 0.3235, 0.5016) x9
Dy (0.0009, 0.6661, 0.6686) x9
Pu (0.0000, 0.0000, 0.4999) x3

Entry 3:
## KSc2Hg (GGA-PBE)

Data for an optimized crystal structure of KSc2Hg.

Values from the calculation:
energy of formation = 0.40 eV per atom
calculated volume = 216.7 Å³ per cell
energy = -24.89 eV/cell

Cell lengths 4.6173, 4.6173, 10.1653 Å; angles 90.00, 90.00, 90.00 degrees
Space group I-4m2 (No. 119)
One atom of each set of equivalent atoms:
K (0.0000, 0.0000, 0.0000) x2
Sc (0.0000, 0.0000, 0.5000) x2
Sc (0.0000, 0.5000, 0.7500) x2
Hg (0.0000, 0.5000, 0.2500) x2

Entry 4:
## PrPtPb (GGA-PBE)

Data for an optimized crystal structure of PrPtPb.

Values from the calculation:
energy of formation = -0.61 eV per atom
calculated volume = 352.7 Å³ per cell
energy = -65.47 eV/cell

Cell lengths 7.8170, 7.8170, 5.7713 Å; angles 90.00, 90.00, 90.00 degrees
Space group P4_2/mmc (No. 131)
One atom of each set of equivalent atoms:
Pr (0.0000, 0.2428, 0.0000) x4
Pt (0.0000, 0.2952, 0.5000) x4
Pb (0.2992, 0.5000, 0.5000) x4

Entry 5:
## Sc2As2Os (GGA-PBE)

Data for an optimized crystal structure of Sc2As2Os.

Values from the calculation:
energy of formation = -0.75 eV per atom
calculated volume = 174.2 Å³ per cell
energy = -73.92 eV/cell

Cell lengths 6.4936, 6.4936, 4.1304 Å; angles 90.00, 90.00, 90.00 degrees
Space group P4/mbm (No. 127)
One atom of each set of equivalent atoms:
Sc (0.1707, 0.3293, 0.0000) x4
As (0.1433, 0.6433, 0.5000) x4
Os (0.0000, 0.0000, 0.5000) x2

Entry 6:
## PaCdGeO6 (GGA-PBE)

Data for an optimized crystal structure of PaCdGeO6.

Values from the calculation:
energy relative to the elements, uncorrected = -1966 meV per atom
calculated volume = 243.5 Å³ per cell
energy = -124.94 eV/cell

Cell lengths 5.4531, 5.4531, 9.4568 Å; angles 90.00, 90.00, 120.00 degrees
Space group P-31c (No. 163)
One atom of each set of equivalent atoms:
Pa (0.3333, 0.6667, 0.2500) x2
Cd (0.0000, 0.0000, 0.0000) x2
Ge (0.3333, 0.6667, 0.7500) x2
O (0.0342, 0.3756, 0.6377) x12